# 1
A geometry-optimized CaMg3Zn8 structure, computed with PBE-GGA.

Cell: 5.284 5.284 8.709 Å, 90.00 90.00 120.00°
Element x y z (fractional)
1 Ca 0.000 0.000 0.000
2 Mg 0.000 0.000 0.377
3 Mg 0.667 0.333 0.498
4 Mg 0.667 0.333 0.866
5 Zn 0.163 0.326 0.682
6 Zn 0.163 0.837 0.682
7 Zn 0.333 0.667 0.441
8 Zn 0.333 0.667 0.937
9 Zn 0.503 0.006 0.195
10 Zn 0.503 0.497 0.195
11 Zn 0.674 0.837 0.682
12 Zn 0.994 0.497 0.195

The calculation puts the energy relative to the lowest polymorph listed for this composition at 0 meV per atom.

# 2
A geometry-optimized Ca4MgZn2 structure, computed with PBE-GGA.

Cell: 8.080 8.080 8.080 Å, 94.50 94.50 147.48°
Element x y z (fractional)
1 Ca 0.000 0.249 0.249
2 Ca 0.000 0.751 0.751
3 Ca 0.249 0.000 0.249
4 Ca 0.751 0.000 0.751
5 Mg 0.500 0.500 0.000
6 Zn 0.250 0.750 0.500
7 Zn 0.750 0.250 0.500

The calculation puts the energy relative to the lowest polymorph listed for this composition at 265 meV per atom.

# 3
A geometry-optimized CaMg2Zn structure, computed with PBE-GGA.

Cell: 4.755 6.135 6.740 Å, 90.00 90.00 90.00°
Element x y z (fractional)
1 Ca 0.250 0.250 0.083
2 Ca 0.750 0.750 0.917
3 Mg 0.250 0.005 0.631
4 Mg 0.250 0.495 0.631
5 Mg 0.750 0.505 0.369
6 Mg 0.750 0.995 0.369
7 Zn 0.250 0.750 0.259
8 Zn 0.750 0.250 0.741

The calculation puts the calculated total energy at -1.747 eV per atom.

# 4
A geometry-optimized CaMg12Zn5 structure, computed with PBE-GGA.

Cell: 8.084 8.084 8.084 Å, 117.65 113.64 97.76°
Element x y z (fractional)
1 Ca 0.000 0.000 0.000
2 Mg 0.129 0.824 0.305
3 Mg 0.227 0.317 0.544
4 Mg 0.227 0.683 0.910
5 Mg 0.263 0.072 0.809
6 Mg 0.263 0.455 0.191
7 Mg 0.482 0.176 0.305
8 Mg 0.518 0.824 0.695
9 Mg 0.737 0.545 0.809
10 Mg 0.737 0.928 0.191
11 Mg 0.773 0.317 0.090
12 Mg 0.773 0.683 0.456
13 Mg 0.871 0.176 0.695
14 Zn 0.120 0.620 0.500
15 Zn 0.500 0.162 0.662
16 Zn 0.500 0.500 0.000
17 Zn 0.500 0.838 0.338
18 Zn 0.880 0.380 0.500

The calculation puts the calculated total energy at -1.557 eV per atom.

# 5
A geometry-optimized CaMgZn structure, computed with PBE-GGA.

Cell: 3.872 12.310 7.606 Å, 90.00 90.00 90.00°
Element x y z (fractional)
1 Ca 0.250 0.096 0.171
2 Ca 0.250 0.404 0.171
3 Ca 0.750 0.596 0.829
4 Ca 0.750 0.904 0.829
5 Mg 0.250 0.129 0.730
6 Mg 0.250 0.371 0.730
7 Mg 0.750 0.629 0.270
8 Mg 0.750 0.871 0.270
9 Zn 0.250 0.573 0.518
10 Zn 0.250 0.927 0.518
11 Zn 0.750 0.073 0.482
12 Zn 0.750 0.427 0.482

The calculation puts the calculated total energy at -1.494 eV per atom.

# 6
A geometry-optimized Ca3MgZn structure, computed with PBE-GGA.

Cell: 10.834 10.834 5.405 Å, 90.00 90.00 151.06°
Element x y z (fractional)
1 Ca 0.068 0.932 0.750
2 Ca 0.250 0.750 0.750
3 Ca 0.431 0.569 0.750
4 Ca 0.569 0.431 0.250
5 Ca 0.750 0.250 0.250
6 Ca 0.932 0.068 0.250
7 Mg 0.158 0.842 0.250
8 Mg 0.842 0.158 0.750
9 Zn 0.342 0.658 0.250
10 Zn 0.658 0.342 0.750

The calculation puts the energy relative to the lowest polymorph listed for this composition at 0 meV per atom.

# 7
A geometry-optimized CaMg2Zn structure, computed with PBE-GGA.

Cell: 4.471 4.501 4.845 Å, 90.00 90.14 90.00°
Element x y z (fractional)
1 Ca 0.000 0.000 0.000
2 Mg 0.000 0.500 0.500
3 Mg 0.500 0.000 0.500
4 Zn 0.500 0.500 0.000

The calculation puts the calculated total energy at -1.681 eV per atom.

# 8
A geometry-optimized Ca8Mg2Zn structure, computed with PBE-GGA.

Cell: 10.003 10.003 7.468 Å, 107.86 107.86 33.04°
Element x y z (fractional)
1 Ca 0.018 0.018 0.282
2 Ca 0.201 0.201 0.784
3 Ca 0.348 0.348 0.545
4 Ca 0.405 0.405 0.067
5 Ca 0.595 0.595 0.933
6 Ca 0.652 0.652 0.455
7 Ca 0.799 0.799 0.216
8 Ca 0.982 0.982 0.718
9 Mg 0.181 0.181 0.212
10 Mg 0.819 0.819 0.788
11 Zn 0.500 0.500 0.500

The calculation puts the calculated total energy at -1.904 eV per atom.